No. 1
VASP calculation (PBEsol) on an optimized crystal structure of KScCo.

Uncorrected energy (eV for the cell shown): -40.685
Calculated volume (A^3/atom): 23.0
Energy of formation (eV/atom): 1.77
Mass density (Mg/m³): 3.44

Cell lengths 6.511, 6.511, 6.511 Å; angles 90.00, 90.00, 90.00 degrees
Space group F-43m (No. 216)
Unique sites:
K 0.000 0.000 0.000 (multiplicity 4)
Sc 0.250 0.250 0.250 (multiplicity 4)
Co 0.250 0.250 0.750 (multiplicity 4)

---

No. 2
VASP calculation (PBEsol) on an optimized crystal structure of BaZnTe2I.

Uncorrected energy (eV for the cell shown): -16.283
Calculated volume (A^3/atom): 32.9
Mass density (Mg/m³): 5.90
Raw formation energy (eV per atom): -0.747

Cell lengths 5.280, 5.280, 5.905 Å; angles 90.00, 90.00, 90.00 degrees
Space group P4/mmm (No. 123)
Unique sites:
Ba 0.000 0.000 0.000 (multiplicity 1)
Zn 0.500 0.500 0.500 (multiplicity 1)
Te 0.000 0.500 0.500 (multiplicity 2)
I 0.500 0.500 0.000 (multiplicity 1)

---

No. 3
VASP calculation (PBEsol) on an optimized crystal structure of Re2TcAs.

Uncorrected energy (eV for the cell shown): -84.844
Calculated volume (A^3/atom): 14.5
Energy of formation (eV/atom): 0.15
Mass density (Mg/m³): 15.59

Cell lengths 3.935, 2.818, 10.480 Å; angles 90.00, 90.00, 90.00 degrees
Space group Amm2 (No. 38)
Unique sites:
Re 0.000 0.000 0.000 (multiplicity 2)
Re 0.500 0.000 0.383 (multiplicity 2)
Tc 0.500 0.000 0.641 (multiplicity 2)
As 0.000 0.000 0.234 (multiplicity 2)